(1)
Material: Dy6Te3P2C
Method: DFT, PBE-GGA
State: relaxed

Cell lengths 6.9972, 12.1097, 7.3745 Å; angles 90.00, 108.38, 90.00 degrees
With the nearest neighbours (Å) after each atom.
Space group C2/m (No. 12)
Inequivalent atoms, fractional coordinates:
Dy 0.2212 0.1546 0.2004 [8 per cell]  1 C 2.58, 2 P 2.80-2.81
Dy 0.2408 0.0000 0.7935 [4 per cell]  1 C 2.60, 2 P 2.81
Te 0.0000 0.1736 0.5000 [4 per cell]  6 Dy 3.08-3.21
Te 0.0000 0.5000 0.5000 [2 per cell]  6 Dy 3.08-3.23
P 0.0000 0.3343 0.0000 [4 per cell]  6 Dy 2.80-2.81
C 0.0000 0.0000 0.0000 [2 per cell]  6 Dy 2.58-2.60

Calculated values
- E_form (uncorrected) (kJ/mol of formula units) = -1540

***

(2)
Material: Dy8Te4P3C
Method: DFT, PBE-GGA
State: relaxed

Cell lengths 8.1179, 8.1179, 21.0475 Å; angles 90.00, 90.00, 120.00 degrees
With the nearest neighbours (Å) after each atom.
Space group R-3m (No. 166, hexagonal axes)
Inequivalent atoms, fractional coordinates:
Dy 0.0000 0.0000 0.2371 [6 per cell]  3 P 2.77, 3 Te 3.10
Dy 0.0213 0.5107 0.2339 [18 per cell]  1 C 2.61, 2 P 2.80
Te 0.0000 0.0000 0.0000 [3 per cell]  6 Dy 3.26
Te 0.0000 0.5000 0.0000 [9 per cell]  6 Dy 3.09-3.10
P 0.0000 0.5000 0.5000 [9 per cell]  6 Dy 2.77-2.80
C 0.0000 0.0000 0.5000 [3 per cell]  6 Dy 2.61

Calculated values
- E_form (uncorrected) (kJ/mol of formula units) = -2129

***

(3)
Material: Dy4Te2PC
Method: DFT, PBE-GGA
State: relaxed

Cell lengths 6.9507, 3.9765, 7.3593 Å; angles 90.00, 108.10, 90.00 degrees
With the nearest neighbours (Å) after each atom.
Space group P2/m (No. 10)
Inequivalent atoms, fractional coordinates:
Dy 0.2143 0.0000 0.1959 [2 per cell]  2 C 2.63, 1 P 2.79
Dy 0.2435 0.5000 0.7989 [2 per cell]  1 C 2.57, 2 P 2.77
Te 0.0000 0.0000 0.5000 [1 per cell]  6 Dy 3.05-3.06
Te 0.5000 0.5000 0.5000 [1 per cell]  6 Dy 3.18-3.23
P 0.5000 0.0000 0.0000 [1 per cell]  6 Dy 2.77-2.79
C 0.0000 0.5000 0.0000 [1 per cell]  6 Dy 2.57-2.63

Calculated values
- E_form (uncorrected) (kJ/mol of formula units) = -927

***

(4)
Material: DyPa3C
Method: DFT, PBE-GGA
State: relaxed

Cell lengths 4.8783, 4.8783, 4.8783 Å; angles 90.00, 90.00, 90.00 degrees
With the nearest neighbours (Å) after each atom.
Space group Pm-3m (No. 221)
Inequivalent atoms, fractional coordinates:
Dy 0.0000 0.0000 0.0000 [1 per cell]  12 Pa 3.45
Pa 0.0000 0.5000 0.5000 [3 per cell]  2 C 2.44
C 0.5000 0.5000 0.5000 [1 per cell]  6 Pa 2.44

Calculated values
- uncorrected energy (eV per atom) = -8.53

***

Number 1: N(E_F) 0.275 states/eV/atom. Number 2: N(E_F) 0.327 states/eV/atom. Number 3: N(E_F) 0.279 states/eV/atom. Number 4: N(E_F) 1.188 states/eV/atom.